No. 1
An optimized crystal structure of CaNdSc2Pt2, computed with PBE.

Computed properties:
As for the density of states at the Fermi level: 7.53 states/eV/cell. Its total energy is -5.98 eV per atom. The space group is P-3m1. As for the energy of formation from the pure elements: -0.72 eV per atom.

Lattice parameters (Å, degrees): 4.8351 4.8351 6.7469 90.00 90.00 120.00
Fractional coordinates of all 6 atoms:
Ca1 0.0000 0.0000 0.0000
Nd1 0.0000 0.0000 0.5000
Sc1 0.3333 0.6667 0.1909
Sc2 0.6667 0.3333 0.8091
Pt1 0.3333 0.6667 0.7603
Pt2 0.6667 0.3333 0.2397

=====

No. 2
An optimized crystal structure of BeZn2Si, computed with PBE.

Computed properties:
As for the density of states at the Fermi level: 1.01 states/eV/cell. For the formation energy from raw total energies, the calculation gives 0.2585 eV per atom. Its total energy is -2.67 eV per atom. The space group is Pmm2.

Lattice parameters (Å, degrees): 2.5459 3.5457 6.0400 90.00 90.00 90.00
Fractional coordinates of all 4 atoms:
Be1 0.0000 0.0000 0.0000
Zn1 0.0000 0.0000 0.4776
Zn2 0.5000 0.5000 0.7544
Si1 0.5000 0.5000 0.1896

=====

No. 3
An optimized crystal structure of ReNi2Br, computed with PBE.

Computed properties:
As for the density of states at the Fermi level: 5.22 states/eV/cell. For the formation energy from raw total energies, the calculation gives 1.1217 eV per atom. Its total energy is -5.30 eV per atom. The space group is I4/mmm. Its energy above the most stable polymorph in this dataset is 722 meV/atom.

Lattice parameters (Å, degrees): 4.6223 4.6223 4.6223 129.86 129.86 73.62
Fractional coordinates of all 4 atoms:
Re1 0.0000 0.0000 0.0000
Ni1 0.2500 0.7500 0.5000
Ni2 0.7500 0.2500 0.5000
Br1 0.5000 0.5000 0.0000